# 1
## Ti2TcPd (PBEsol)

Data for crystalline Ti2TcPd at its relaxed geometry.

Summary:
spin magnetization: 0.00 μB per formula unit
energy: -144.12 eV per cell
energy of formation: -0.540 eV per atom

Geometry as CIF:
```
data_Ti2TcPd
_chemical_formula_sum 'Ti8 Tc4 Pd4'
_space_group_name_H-M_alt 'F m -3 m'
_space_group_IT_number 225
_space_group_name_Hall '-F 4 2 3'
_cell_length_a 6.1721
_cell_length_b 6.1721
_cell_length_c 6.1721
_cell_angle_alpha 90.00
_cell_angle_beta 90.00
_cell_angle_gamma 90.00
loop_
_atom_site_label
_atom_site_fract_x
_atom_site_fract_y
_atom_site_fract_z
_atom_site_occupancy
Ti1 0.2500 0.2500 0.2500 1
Tc1 0.0000 0.0000 0.0000 1
Pd1 0.0000 0.0000 0.5000 1
```

---

# 2
## TiTc3Pd (PBEsol)

Data for crystalline TiTc3Pd at its relaxed geometry.

Summary:
spin magnetization: 0.00 μB per formula unit
energy: -40.94 eV per cell
energy of formation: 1.428 eV per atom

Geometry as CIF:
```
data_TiTc3Pd
_chemical_formula_sum 'Ti1 Tc3 Pd1'
_space_group_name_H-M_alt 'P m -3 m'
_space_group_IT_number 221
_space_group_name_Hall '-P 4 2 3'
_cell_length_a 4.3904
_cell_length_b 4.3904
_cell_length_c 4.3904
_cell_angle_alpha 90.00
_cell_angle_beta 90.00
_cell_angle_gamma 90.00
loop_
_atom_site_label
_atom_site_fract_x
_atom_site_fract_y
_atom_site_fract_z
_atom_site_occupancy
Ti1 0.0000 0.0000 0.0000 1
Tc1 0.0000 0.0000 0.5000 1
Pd1 0.5000 0.5000 0.5000 1
```